No. 1
# MnAl

A relaxed MnAl crystal (PBE, Alexandria via LeMat-Bulk).

Cell lengths 2.816, 2.816, 8.474 Å; angles 90.00, 90.00, 120.00 degrees
Sites, in units of the cell vectors:
1 Mn 0.333 0.667 0.123
2 Mn 0.667 0.333 0.877
3 Al 0.333 0.667 0.635
4 Al 0.667 0.333 0.365

Summary:
The space group is P-3m1 (164). Its formation enthalpy at 0 K is 2.1 kcal/mol of atoms. The volume is 14.5 A^3/atom.

=====

No. 2
# RbYAgBr5

A relaxed RbYAgBr5 crystal (PBE, Alexandria via LeMat-Bulk).

Cell lengths 8.035, 8.035, 10.729 Å; angles 102.26, 102.26, 108.86 degrees
Sites, in units of the cell vectors:
1 Rb 0.154 0.846 0.750
2 Rb 0.846 0.154 0.250
3 Y 0.500 0.500 0.000
4 Y 0.500 0.500 0.500
5 Ag 0.189 0.811 0.250
6 Ag 0.811 0.189 0.750
7 Br 0.134 0.253 0.939
8 Br 0.197 0.591 0.408
9 Br 0.253 0.134 0.439
10 Br 0.409 0.803 0.092
11 Br 0.428 0.572 0.750
12 Br 0.572 0.428 0.250
13 Br 0.591 0.197 0.908
14 Br 0.747 0.866 0.561
15 Br 0.803 0.409 0.592
16 Br 0.866 0.747 0.061

Summary:
The space group is C2/c (15). The volume is 38.1 A^3/atom. The formation energy from raw total energies is -1.470 eV/atom.

=====

No. 3
# BeBi3Os

A relaxed BeBi3Os crystal (PBE, Alexandria via LeMat-Bulk).

Cell lengths 4.921, 4.921, 4.921 Å; angles 90.00, 90.00, 90.00 degrees
Sites, in units of the cell vectors:
1 Be 0.000 0.000 0.000
2 Bi 0.000 0.000 0.500
3 Bi 0.000 0.500 0.000
4 Bi 0.500 0.000 0.000
5 Os 0.500 0.500 0.500

Summary:
The space group is Pm-3m (221). Its formation enthalpy at 0 K is 29.5 kcal/mol of atoms. The volume is 23.8 A^3/atom.

=====

No. 4
# Ag3TePd

A relaxed Ag3TePd crystal (PBE, Alexandria via LeMat-Bulk).

Cell lengths 5.047, 5.047, 5.047 Å; angles 90.00, 90.00, 90.00 degrees
Sites, in units of the cell vectors:
1 Ag 0.000 0.000 0.500
2 Ag 0.000 0.500 0.000
3 Ag 0.500 0.000 0.000
4 Te 0.500 0.500 0.500
5 Pd 0.000 0.000 0.000

Summary:
The space group is Pm-3m (221). The volume is 25.7 A^3/atom. The formation energy from raw total energies is 0.608 eV/atom.

=====

No. 5
# Li2Co2Pb

A relaxed Li2Co2Pb crystal (PBE, Alexandria via LeMat-Bulk).

Cell lengths 6.713, 6.713, 3.469 Å; angles 90.00, 90.00, 90.00 degrees
Sites, in units of the cell vectors:
1 Li 0.171 0.329 0.000
2 Li 0.329 0.829 0.000
3 Li 0.671 0.171 0.000
4 Li 0.829 0.671 0.000
5 Co 0.116 0.616 0.500
6 Co 0.384 0.116 0.500
7 Co 0.616 0.884 0.500
8 Co 0.884 0.384 0.500
9 Pb 0.000 0.000 0.500
10 Pb 0.500 0.500 0.500

Summary:
The space group is P4/mbm (127). Its formation enthalpy at 0 K is 5.9 kcal/mol of atoms. The volume is 15.6 A^3/atom.

=====

No. 6
# NaZrTi2

A relaxed NaZrTi2 crystal (PBE, Alexandria via LeMat-Bulk).

Cell lengths 10.555, 10.555, 10.555 Å; angles 157.71, 157.71, 31.72 degrees
Sites, in units of the cell vectors:
1 Na 0.000 0.000 0.000
2 Na 0.750 0.250 0.500
3 Zr 0.250 0.750 0.500
4 Zr 0.500 0.500 0.000
5 Ti 0.141 0.625 0.016
6 Ti 0.375 0.391 0.516
7 Ti 0.609 0.125 0.984
8 Ti 0.875 0.859 0.484

Summary:
The space group is I-42d (122). Its formation enthalpy at 0 K is 20.3 kcal/mol of atoms. The volume is 21.1 A^3/atom.

=====

No. 7
# Sm4ThSe5

A relaxed Sm4ThSe5 crystal (PBE, Alexandria via LeMat-Bulk).

Cell lengths 15.074, 15.074, 15.074 Å; angles 164.06, 164.06, 22.62 degrees
Sites, in units of the cell vectors:
1 Sm 0.100 0.100 0.000
2 Sm 0.301 0.301 0.000
3 Sm 0.699 0.699 0.000
4 Sm 0.900 0.900 0.000
5 Th 0.500 0.500 0.000
6 Se 0.000 0.000 0.000
7 Se 0.201 0.201 0.000
8 Se 0.400 0.400 0.000
9 Se 0.600 0.600 0.000
10 Se 0.799 0.799 0.000

Summary:
The space group is I4/mmm (139). The volume is 25.8 A^3/atom. The formation energy from raw total energies is -1.754 eV/atom.

=====

No. 8
# Sc2MnAu

A relaxed Sc2MnAu crystal (PBE, Alexandria via LeMat-Bulk).

Cell lengths 10.022, 10.022, 10.022 Å; angles 156.08, 156.08, 34.08 degrees
Sites, in units of the cell vectors:
1 Sc 0.124 0.625 0.999
2 Sc 0.375 0.374 0.499
3 Sc 0.626 0.125 0.001
4 Sc 0.875 0.876 0.501
5 Mn 0.000 0.000 0.000
6 Mn 0.750 0.250 0.500
7 Au 0.250 0.750 0.500
8 Au 0.500 0.500 0.000

Summary:
The space group is I-42d (122). Its formation enthalpy at 0 K is 4.3 kcal/mol of atoms. The volume is 20.7 A^3/atom.

=====

No. 9
# BaLaTb2

A relaxed BaLaTb2 crystal (PBE, Alexandria via LeMat-Bulk).

Cell lengths 3.773, 3.773, 10.832 Å; angles 90.00, 90.00, 90.00 degrees
Sites, in units of the cell vectors:
1 Ba 0.000 0.000 0.000
2 La 0.000 0.000 0.500
3 Tb 0.500 0.500 0.278
4 Tb 0.500 0.500 0.722

Summary:
The space group is P4/mmm (123). Its formation enthalpy at 0 K is 3.5 kcal/mol of atoms. The volume is 38.6 A^3/atom.

=====

No. 10
# MoP4Pb

A relaxed MoP4Pb crystal (PBE, Alexandria via LeMat-Bulk).

Cell lengths 6.112, 6.120, 7.077 Å; angles 105.75, 105.69, 95.80 degrees
Sites, in units of the cell vectors:
1 Mo 0.138 0.362 0.250
2 Mo 0.862 0.638 0.750
3 P 0.100 0.694 0.532
4 P 0.189 0.966 0.039
5 P 0.194 0.600 0.032
6 P 0.467 0.689 0.538
7 P 0.533 0.311 0.462
8 P 0.806 0.400 0.968
9 P 0.811 0.034 0.961
10 P 0.900 0.306 0.468
11 Pb 0.312 0.188 0.750
12 Pb 0.688 0.812 0.250

Summary:
The space group is P-1 (2). Its formation enthalpy at 0 K is 2.2 kcal/mol of atoms. The volume is 20.1 A^3/atom.

=====

No. 11
# Np3Ga9Pd2

A relaxed Np3Ga9Pd2 crystal (PBE, Alexandria via LeMat-Bulk).

Cell lengths 8.173, 8.173, 8.173 Å; angles 149.06, 109.93, 78.55 degrees
Sites, in units of the cell vectors:
1 Np 0.000 0.000 0.000
2 Np 0.292 0.292 0.000
3 Np 0.708 0.708 0.000
4 Ga 0.015 0.651 0.364
5 Ga 0.143 0.860 0.283
6 Ga 0.287 0.651 0.636
7 Ga 0.423 0.140 0.283
8 Ga 0.500 0.000 0.500
9 Ga 0.577 0.860 0.717
10 Ga 0.713 0.349 0.364
11 Ga 0.857 0.140 0.717
12 Ga 0.985 0.349 0.636
13 Pd 0.326 0.500 0.826
14 Pd 0.674 0.500 0.174

Summary:
The space group is Immm (71). Its formation enthalpy at 0 K is -6.9 kcal/mol of atoms. The volume is 18.5 A^3/atom.

=====

No. 12
# La4Tb7Y

A relaxed La4Tb7Y crystal (PBE, Alexandria via LeMat-Bulk).

Cell lengths 6.789, 6.789, 12.979 Å; angles 114.59, 114.59, 52.56 degrees
Sites, in units of the cell vectors:
1 La 0.056 0.056 0.335
2 La 0.359 0.359 0.221
3 La 0.641 0.641 0.779
4 La 0.944 0.944 0.665
5 Tb 0.000 0.000 0.000
6 Tb 0.210 0.210 0.924
7 Tb 0.258 0.258 0.689
8 Tb 0.362 0.362 0.495
9 Tb 0.638 0.638 0.505
10 Tb 0.742 0.742 0.311
11 Tb 0.790 0.790 0.076
12 Y 0.500 0.500 0.000

Summary:
The space group is C2/m (12). Its formation enthalpy at 0 K is 5.8 kcal/mol of atoms. The volume is 35.1 A^3/atom.

=====

| no. | energy (eV per cell) | theoretical density (g/cm³) | Fermi-level density of states (states/eV/f.u.) |
| --- | --- | --- | --- |
| 1 | -25.47 | 4.7 | 1.43 |
| 2 | -60.81 | 3.7 | 0.00 |
| 3 | -20.19 | 11.5 | 6.29 |
| 4 | -13.85 | 7.2 | 1.72 |
| 5 | -40.92 | 7.2 | 3.52 |
| 6 | -44.26 | 4.1 | 6.24 |
| 7 | -61.26 | 7.9 | 6.34 |
| 8 | -48.71 | 6.9 | 5.11 |
| 9 | -15.50 | 6.4 | 7.50 |
| 10 | -71.20 | 5.9 | 2.32 |
| 11 | -80.63 | 10.0 | 25.88 |
| 12 | -55.58 | 6.9 | 20.82 |